A relaxed structure of Na3MgIn2S6, computed with PBE-GGA. Values from VASP.

Summary:
**Formation energy without anion corrections**: -0.891 eV/atom

```
&SYSTEM
  ibrav = 0, nat = 12, ntyp = 4
/
ATOMIC_SPECIES
Na 22.99 Na.upf
Mg 24.30 Mg.upf
In 114.82 In.upf
S 32.06 S.upf
ATOMIC_POSITIONS crystal
Na 0.1688 0.8312 0.5000
Na 0.8312 0.1688 0.5000
Na 0.5000 0.5000 0.5000
Mg 0.0000 0.0000 0.0000
In 0.3335 0.6665 0.0000
In 0.6665 0.3335 0.0000
S 0.9268 0.5954 0.7805
S 0.7418 0.7418 0.2205
S 0.0732 0.4046 0.2195
S 0.5954 0.9268 0.7805
S 0.2582 0.2582 0.7795
S 0.4046 0.0732 0.2195
CELL_PARAMETERS angstrom
6.5571 -0.0060 -0.0014
-3.2821 5.6765 -0.0014
-1.0937 -1.8937 6.7928
```

=====

A relaxed structure of NaMgInS3, computed with PBE-GGA. Values from VASP.

Summary:
**Formation energy without anion corrections**: -0.956 eV/atom

```
&SYSTEM
  ibrav = 0, nat = 12, ntyp = 4
/
ATOMIC_SPECIES
Na 22.99 Na.upf
Mg 24.30 Mg.upf
In 114.82 In.upf
S 32.06 S.upf
ATOMIC_POSITIONS crystal
Na 0.2500 0.2430 0.1947
Na 0.7500 0.7570 0.8053
Mg 0.2500 0.6736 0.0899
Mg 0.7500 0.3264 0.9101
In 0.2500 0.1373 0.6426
In 0.7500 0.8627 0.3574
S 0.7500 0.9386 0.1609
S 0.2500 0.0614 0.8391
S 0.2500 0.7715 0.4649
S 0.7500 0.2285 0.5351
S 0.7500 0.4815 0.1473
S 0.2500 0.5185 0.8527
CELL_PARAMETERS angstrom
-1.7528 -2.5511 -2.2814
4.0996 2.3658 -5.7953
4.9948 -8.3587 5.5091
```

=====

A relaxed structure of NaMgInSb2, computed with PBE-GGA. Values from VASP.

Summary:
**Formation energy without anion corrections**: 0.526 eV/atom

```
&SYSTEM
  ibrav = 0, nat = 5, ntyp = 4
/
ATOMIC_SPECIES
Sb 121.76 Sb.upf
Mg 24.30 Mg.upf
Na 22.99 Na.upf
In 114.82 In.upf
ATOMIC_POSITIONS crystal
Sb 0.0000 0.0000 0.5000
Sb 0.5000 0.0000 0.0000
Mg 0.5000 0.5000 0.5000
Na 0.0000 0.0000 0.0000
In 0.0000 0.5000 0.0000
CELL_PARAMETERS angstrom
-1.1625 2.6993 -4.6743
3.6596 -2.9010 -2.5854
-3.8478 -3.7677 -1.2188
```

=====

A relaxed structure of NaMgInSb, computed with PBE-GGA. Values from VASP.

Summary:
**Energy relative to the lowest polymorph listed for this composition**: 8.4 meV per atom
**Formation energy without anion corrections**: -0.160 eV/atom

```
&SYSTEM
  ibrav = 0, nat = 4, ntyp = 4
/
ATOMIC_SPECIES
Sb 121.76 Sb.upf
Mg 24.30 Mg.upf
Na 22.99 Na.upf
In 114.82 In.upf
ATOMIC_POSITIONS crystal
Sb 0.0000 0.0000 0.0000
Mg 0.7500 0.7500 0.7500
Na 0.2500 0.2500 0.2500
In 0.5000 0.5000 0.5000
CELL_PARAMETERS angstrom
-4.7503 -0.7376 -2.1776
-0.4675 -2.8738 -4.4016
-2.2772 -4.7573 0.1841
```

=====

A relaxed structure of NaMgInSb, computed with PBE-GGA. Values from VASP.

Summary:
**Energy relative to the lowest polymorph listed for this composition**: 0.0 meV per atom
**Formation energy without anion corrections**: -0.168 eV/atom

```
&SYSTEM
  ibrav = 0, nat = 4, ntyp = 4
/
ATOMIC_SPECIES
Na 22.99 Na.upf
Mg 24.30 Mg.upf
In 114.82 In.upf
Sb 121.76 Sb.upf
ATOMIC_POSITIONS crystal
Na 0.6465 0.3535 0.9757
Mg 0.6467 0.3533 0.4629
In 0.1456 0.8544 0.6952
Sb 0.1461 0.8539 0.2549
CELL_PARAMETERS angstrom
3.7582 0.0004 0.0060
0.0003 3.7582 -0.0060
-0.0098 0.0098 7.4012
```

=====

A relaxed structure of NaMgScIn, computed with PBE-GGA. Values from VASP.

Summary:
**Formation enthalpy at 0 K**: -0.056 eV/atom

```
&SYSTEM
  ibrav = 0, nat = 4, ntyp = 4
/
ATOMIC_SPECIES
Sc 44.96 Sc.upf
Na 22.99 Na.upf
Mg 24.30 Mg.upf
In 114.82 In.upf
ATOMIC_POSITIONS crystal
Sc 0.2500 0.2500 0.2500
Na 0.0000 0.0000 0.0000
Mg 0.7500 0.7500 0.7500
In 0.5000 0.5000 0.5000
CELL_PARAMETERS angstrom
-0.8146 4.9801 -0.5676
-3.3379 2.3842 2.9935
1.6349 3.2592 3.5343
```

=====

Result set for mass density: 3.387; 2.872; 4.139; 4.535; 4.509; 3.714 g/cm3, one per record in the order listed.